Below is a relaxed MgZnAg crystal, with properties calculated at the PBE level.

Output
Magnetization, Bohr magnetons per cell: 0.0
E_form, eV/atom: -0.134
Crystal system: hexagonal
Symmetry: P-6m2
Offset from the most stable computed form, meV per atom: 35

Cell lengths 4.548, 4.548, 3.002 Å; angles 90.00, 90.00, 120.00 degrees
Positions (direct):
Mg  0.000  0.000  0.000
Zn  0.667  0.333  0.500
Ag  0.333  0.667  0.500



Below is a relaxed Tb2CdSn2 crystal, with properties calculated at the PBE level.

Output
Magnetization, Bohr magnetons per cell: 0.0
E_form, eV/atom: -0.562
Crystal system: monoclinic
Symmetry: C2/m

Cell lengths 6.282, 6.282, 10.905 Å; angles 113.04, 113.04, 42.92 degrees
Positions (direct):
Tb  0.003  0.003  0.175
Tb  0.180  0.180  0.603
Tb  0.820  0.820  0.397
Tb  0.997  0.997  0.825
Cd  0.298  0.298  0.172
Cd  0.702  0.702  0.828
Sn  0.358  0.358  0.930
Sn  0.451  0.451  0.606
Sn  0.549  0.549  0.394
Sn  0.642  0.642  0.070



Below is a relaxed ErScBiO2 crystal, with properties calculated at the PBE level.

Output
Magnetization, Bohr magnetons per cell: 0.0
Crystal system: tetragonal
E_tot, eV/atom: -7.5406
Symmetry: I4mm

Cell lengths 3.771, 3.771, 13.180 Å; angles 90.00, 90.00, 90.00 degrees
Positions (direct):
Er  0.000  0.000  0.000
Er  0.500  0.500  0.500
Sc  0.000  0.000  0.657
Sc  0.500  0.500  0.157
Bi  0.000  0.000  0.327
Bi  0.500  0.500  0.827
O  0.000  0.500  0.087
O  0.000  0.500  0.587
O  0.500  0.000  0.087
O  0.500  0.000  0.587



Below is a relaxed SmYGaSe crystal, with properties calculated at the PBE level.

Output
Magnetization, Bohr magnetons per cell: 0.0
Crystal system: trigonal
E_tot, eV/atom: -5.6149
Symmetry: R3m

Cell lengths 4.016, 4.016, 22.159 Å; angles 90.00, 90.00, 120.00 degrees
Positions (direct):
Sm  0.000  0.000  0.000
Sm  0.333  0.667  0.667
Sm  0.667  0.333  0.333
Y  0.000  0.000  0.497
Y  0.333  0.667  0.163
Y  0.667  0.333  0.830
Ga  0.000  0.000  0.247
Ga  0.333  0.667  0.914
Ga  0.667  0.333  0.580
Se  0.000  0.000  0.751
Se  0.333  0.667  0.417
Se  0.667  0.333  0.084



Below is a relaxed CsRb2PaCl8 crystal, with properties calculated at the PBE level.

Output
Magnetization, Bohr magnetons per cell: 0.0
Crystal system: triclinic
E_tot, eV/atom: -4.1516
Symmetry: P-1

Cell lengths 6.072, 7.816, 10.515 Å; angles 90.02, 90.09, 104.45 degrees
Positions (direct):
Cs  0.000  0.000  0.000
Rb  0.498  0.500  0.775
Rb  0.502  0.500  0.225
Pa  0.000  0.000  0.500
Cl  0.096  0.803  0.324
Cl  0.097  0.803  0.676
Cl  0.398  0.211  0.500
Cl  0.430  0.741  0.000
Cl  0.570  0.259  0.000
Cl  0.602  0.789  0.500
Cl  0.903  0.197  0.324
Cl  0.904  0.197  0.676



Below is a relaxed Hf5ZrCo6 crystal, with properties calculated at the PBE level.

Output
Magnetization, Bohr magnetons per cell: 4.1
E_form, eV/atom: -0.371
Crystal system: orthorhombic
Symmetry: Immm

Cell lengths 7.725, 7.725, 7.725 Å; angles 146.58, 131.05, 60.57 degrees
Positions (direct):
Hf  0.000  0.000  0.000
Hf  0.167  0.667  0.500
Hf  0.333  0.333  0.000
Hf  0.667  0.667  0.000
Hf  0.833  0.333  0.500
Zr  0.500  0.000  0.500
Co  0.079  0.832  0.248
Co  0.245  0.500  0.745
Co  0.416  0.168  0.248
Co  0.584  0.832  0.752
Co  0.755  0.500  0.255
Co  0.921  0.168  0.752



Below is a relaxed BiC2O crystal, with properties calculated at the PBE level.

Output
Magnetization, Bohr magnetons per cell: 0.0
Crystal system: tetragonal
Symmetry: I-42d
Offset from the most stable computed form, meV per atom: 0

Cell lengths 4.494, 4.494, 11.174 Å; angles 90.00, 90.00, 90.00 degrees
Positions (direct):
Bi  0.000  0.000  0.000
Bi  0.000  0.500  0.250
Bi  0.500  0.000  0.750
Bi  0.500  0.500  0.500
C  0.149  0.250  0.625
C  0.250  0.649  0.875
C  0.250  0.851  0.375
C  0.351  0.250  0.125
C  0.649  0.750  0.125
C  0.750  0.149  0.375
C  0.750  0.351  0.875
C  0.851  0.750  0.625
O  0.000  0.000  0.500
O  0.000  0.500  0.750
O  0.500  0.000  0.250
O  0.500  0.500  0.000



Below is a relaxed Ac8P3RhBr4 crystal, with properties calculated at the PBE level.

Output
Magnetization, Bohr magnetons per cell: 0.0
Crystal system: trigonal
E_tot, eV/atom: -5.2800
Symmetry: R-3m

Cell lengths 9.208, 9.208, 9.208 Å; angles 57.67, 57.67, 57.67 degrees
Positions (direct):
Ac  0.237  0.237  0.237
Ac  0.243  0.733  0.733
Ac  0.267  0.267  0.757
Ac  0.267  0.757  0.267
Ac  0.733  0.243  0.733
Ac  0.733  0.733  0.243
Ac  0.757  0.267  0.267
Ac  0.763  0.763  0.763
P  0.000  0.000  0.500
P  0.000  0.500  0.000
P  0.500  0.000  0.000
Rh  0.500  0.500  0.500
Br  0.000  0.000  0.000
Br  0.000  0.500  0.500
Br  0.500  0.000  0.500
Br  0.500  0.500  0.000



Below is a relaxed NpPaSe2 crystal, with properties calculated at the PBE level.

Output
Magnetization, Bohr magnetons per cell: 18.8
Crystal system: trigonal
Symmetry: R-3m
Offset from the most stable computed form, meV per atom: 650

Cell lengths 3.886, 3.886, 27.351 Å; angles 90.00, 90.00, 120.00 degrees
Positions (direct):
Np  0.000  0.000  0.000
Np  0.333  0.667  0.667
Np  0.667  0.333  0.333
Pa  0.000  0.000  0.500
Pa  0.333  0.667  0.167
Pa  0.667  0.333  0.833
Se  0.000  0.000  0.398
Se  0.000  0.000  0.602
Se  0.333  0.667  0.065
Se  0.333  0.667  0.269
Se  0.667  0.333  0.731
Se  0.667  0.333  0.935



Below is a relaxed NiHg2 crystal, with properties calculated at the PBE level.

Output
Magnetization, Bohr magnetons per cell: 0.0
E_form, eV/atom: 0.464
Crystal system: hexagonal
Symmetry: P6/mmm

Cell lengths 4.752, 4.752, 2.912 Å; angles 90.00, 90.00, 120.00 degrees
Positions (direct):
Ni  0.000  0.000  0.000
Hg  0.333  0.667  0.500
Hg  0.667  0.333  0.500



Below is a relaxed MnMoPb2 crystal, with properties calculated at the PBE level.

Output
Magnetization, Bohr magnetons per cell: 4.5
E_form, eV/atom: 0.578
Crystal system: monoclinic
Symmetry: Cm
Offset from the most stable computed form, meV per atom: 230

Cell lengths 10.825, 3.203, 5.206 Å; angles 90.00, 110.52, 90.00 degrees
Positions (direct):
Mn  0.000  0.000  0.000
Mn  0.500  0.500  0.000
Mo  0.176  0.500  0.287
Mo  0.676  0.000  0.287
Pb  0.229  0.000  0.821
Pb  0.441  0.000  0.451
Pb  0.729  0.500  0.821
Pb  0.941  0.500  0.451



Below is a relaxed YSc2Tl crystal, with properties calculated at the PBE level.

Output
Magnetization, Bohr magnetons per cell: 7.7
E_form, eV/atom: -0.012
Crystal system: cubic
Symmetry: Fm-3m
Offset from the most stable computed form, meV per atom: 188

Cell lengths 7.370, 7.370, 7.370 Å; angles 90.00, 90.00, 90.00 degrees
Positions (direct):
Y  0.000  0.000  0.000
Y  0.000  0.500  0.500
Y  0.500  0.000  0.500
Y  0.500  0.500  0.000
Sc  0.250  0.250  0.250
Sc  0.250  0.250  0.750
Sc  0.250  0.750  0.250
Sc  0.250  0.750  0.750
Sc  0.750  0.250  0.250
Sc  0.750  0.250  0.750
Sc  0.750  0.750  0.250
Sc  0.750  0.750  0.750
Tl  0.000  0.000  0.500
Tl  0.000  0.500  0.000
Tl  0.500  0.000  0.000
Tl  0.500  0.500  0.500



no.,theoretical density (g/cm³)
1,6.1
2,8.3
3,8.0
4,6.2
5,2.8
6,11.7
7,7.3
8,7.4
9,8.7
10,13.4
11,11.1
12,6.4